Record 1
This record from Alexandria via LeMat-Bulk describes a geometry-optimized SmTm4Rh5 structure. The functional is PBE-GGA.

ΔH_f (0 K): -0.91 eV per atom
total moment: 0.0 μB/cell
mass density: 11.3 g cm⁻³
density of states at the Fermi level: 0.543 states/eV per atom
energy: -6.846 eV per atom

a b c (Å): 3.3598 3.3598 17.4336
angles (deg): 90.00 90.00 90.00
Closest atoms and distances in Å follow each position.
Space group P4/mmm (No. 123)
Asymmetric unit:
Sm 0.0000 0.0000 0.0000 (multiplicity 1)  8 Rh 3.03, 4 Sm 3.36
Tm 0.0000 0.0000 0.2041 (multiplicity 2)  8 Rh 2.91-2.94
Tm 0.0000 0.0000 0.4015 (multiplicity 2)  8 Rh 2.93
Rh 0.5000 0.5000 0.1080 (multiplicity 2)  4 Tm 2.91, 4 Sm 3.03
Rh 0.5000 0.5000 0.3033 (multiplicity 2)  8 Tm 2.93-2.94
Rh 0.5000 0.5000 0.5000 (multiplicity 1)  8 Tm 2.93


Record 2
This record from Alexandria via LeMat-Bulk describes a geometry-optimized ZrAlS2O structure. The functional is PBE-GGA.

ΔE_f (raw): -269.6 meV/atom
total moment: 0.0 μB/cell
mass density: 3.3 g cm⁻³
density of states at the Fermi level: 0.729 states/eV per atom
energy: -5.370 eV per atom

a b c (Å): 5.0495 5.0495 3.8860
angles (deg): 90.00 90.00 90.00
Closest atoms and distances in Å follow each position.
Space group P4/mmm (No. 123)
Asymmetric unit:
Zr 0.0000 0.0000 0.0000 (multiplicity 1)  2 O 1.94
Al 0.5000 0.5000 0.0000 (multiplicity 1)  8 S 3.19
S 0.0000 0.5000 0.5000 (multiplicity 2)  2 O 2.52
O 0.0000 0.0000 0.5000 (multiplicity 1)  2 Zr 1.94


Record 3
This record from Alexandria via LeMat-Bulk describes a geometry-optimized Al2TlCr structure. The functional is PBE-GGA.

ΔH_f (0 K): 0.50 eV per atom
total moment: 17.2 μB/cell
mass density: 6.6 g cm⁻³
density of states at the Fermi level: 0.871 states/eV per atom
polymorph energy (0 for the lowest one): 0.3353 eV per atom
energy: -4.368 eV per atom

a b c (Å): 6.7825 6.7825 6.7825
angles (deg): 90.00 90.00 90.00
Closest atoms and distances in Å follow each position.
Space group Fm-3m (No. 225)
Asymmetric unit:
Al 0.2500 0.2500 0.2500 (multiplicity 8)  4 Cr 2.94, 4 Tl 2.94
Tl 0.0000 0.0000 0.0000 (multiplicity 4)  8 Al 2.94
Cr 0.0000 0.0000 0.5000 (multiplicity 4)  8 Al 2.94


Record 4
This record from Alexandria via LeMat-Bulk describes a geometry-optimized NaAgN2 structure. The functional is PBE-GGA.

ΔE_f (raw): 1441.3 meV/atom
total moment: 0.0 μB/cell
mass density: 4.5 g cm⁻³
density of states at the Fermi level: 0.898 states/eV per atom
polymorph energy (0 for the lowest one): 0.0704 eV per atom
energy: -3.764 eV per atom

a b c (Å): 5.9689 5.9689 6.6147
angles (deg): 90.00 90.00 90.00
Closest atoms and distances in Å follow each position.
Space group I-42d (No. 122)
Asymmetric unit:
Na 0.0000 0.0000 0.0000 (multiplicity 4)  4 N 2.53
Ag 0.0000 0.0000 0.5000 (multiplicity 4)  4 N 2.04
N 0.1871 0.2500 0.6250 (multiplicity 8)  2 Ag 2.04


Record 5
This record from Alexandria via LeMat-Bulk describes a geometry-optimized TlCoSb2 structure. The functional is PBE-GGA.

ΔE_f (raw): 561.2 meV/atom
total moment: 0.0 μB/cell
mass density: 9.3 g cm⁻³
density of states at the Fermi level: 0.037 states/eV per atom
polymorph energy (0 for the lowest one): 0.5707 eV per atom
energy: -3.868 eV per atom

a b c (Å): 7.1268 7.1268 7.1268
angles (deg): 90.00 90.00 90.00
Closest atoms and distances in Å follow each position.
Space group Fm-3m (No. 225)
Asymmetric unit:
Tl 0.0000 0.0000 0.0000 (multiplicity 4)  8 Sb 3.09
Co 0.0000 0.0000 0.5000 (multiplicity 4)  8 Sb 3.09
Sb 0.2500 0.2500 0.2500 (multiplicity 8)  4 Co 3.09, 4 Tl 3.09


Record 6
This record from Alexandria via LeMat-Bulk describes a geometry-optimized GdTiAu2 structure. The functional is PBE-GGA.

ΔH_f (0 K): -0.53 eV per atom
total moment: 8.0 μB/cell
mass density: 12.2 g cm⁻³
density of states at the Fermi level: 1.062 states/eV per atom
polymorph energy (0 for the lowest one): 0.0000 eV per atom
energy: -7.660 eV per atom

a b c (Å): 3.3849 3.3849 7.1443
angles (deg): 90.00 90.00 90.00
Closest atoms and distances in Å follow each position.
Space group P4/mmm (No. 123)
Asymmetric unit:
Gd 0.0000 0.0000 0.0000 (multiplicity 1)  8 Au 3.17, 4 Gd 3.38
Ti 0.0000 0.0000 0.5000 (multiplicity 1)  8 Au 2.82
Au 0.5000 0.5000 0.2900 (multiplicity 2)  4 Ti 2.82, 1 Au 3.00


Record 7
This record from Alexandria via LeMat-Bulk describes a geometry-optimized YZr2Os structure. The functional is PBE-GGA.

ΔH_f (0 K): 0.01 eV per atom
total moment: 0.0 μB/cell
mass density: 8.7 g cm⁻³
density of states at the Fermi level: 1.148 states/eV per atom
polymorph energy (0 for the lowest one): 0.2322 eV per atom
energy: -8.685 eV per atom

a b c (Å): 3.2543 4.5271 6.2222
angles (deg): 90.00 104.94 90.00
Closest atoms and distances in Å follow each position.
Space group Pm (No. 6)
Asymmetric unit:
Y 0.0000 0.0000 0.0000 (multiplicity 1)  2 Os 2.95, 4 Zr 3.01-3.30, 2 Y 3.25
Zr 0.1651 0.0000 0.5459 (multiplicity 1)  2 Os 2.71, 1 Y 3.01
Zr 0.5999 0.5000 0.3123 (multiplicity 1)  1 Os 2.70
Os 0.5474 0.5000 0.7389 (multiplicity 1)  3 Zr 2.70-2.71, 2 Y 2.95


Record 8
This record from Alexandria via LeMat-Bulk describes a geometry-optimized Sr3LaBe structure. The functional is PBE-GGA.

ΔH_f (0 K): 1.30 eV per atom
total moment: 1.1 μB/cell
mass density: 2.9 g cm⁻³
density of states at the Fermi level: 0.882 states/eV per atom
energy: -1.436 eV per atom

a b c (Å): 6.1764 6.1764 6.1764
angles (deg): 90.00 90.00 90.00
Closest atoms and distances in Å follow each position.
Space group Pm-3m (No. 221)
Asymmetric unit:
Sr 0.0000 0.0000 0.5000 (multiplicity 3)  2 La 3.09
La 0.0000 0.0000 0.0000 (multiplicity 1)  6 Sr 3.09
Be 0.5000 0.5000 0.5000 (multiplicity 1)  12 Sr 4.37


Record 9
This record from Alexandria via LeMat-Bulk describes a geometry-optimized KIn4Pb structure. The functional is PBE-GGA.

ΔH_f (0 K): -0.03 eV per atom
total moment: 0.0 μB/cell
mass density: 6.4 g cm⁻³
density of states at the Fermi level: 0.346 states/eV per atom
polymorph energy (0 for the lowest one): 0.0332 eV per atom
energy: -2.658 eV per atom

a b c (Å): 8.9961 8.9961 8.9961
angles (deg): 90.00 90.00 90.00
Closest atoms and distances in Å follow each position.
Space group F-43m (No. 216)
Asymmetric unit:
K 0.0000 0.0000 0.0000 (multiplicity 4)  12 In 3.73, 4 Pb 3.90
In 0.1246 0.1246 0.6246 (multiplicity 16)  6 In 3.17-3.19
Pb 0.2500 0.2500 0.2500 (multiplicity 4)  12 In 3.73, 4 K 3.90


Record 10
This record from Alexandria via LeMat-Bulk describes a geometry-optimized Rb4BaNa5 structure. The functional is PBE-GGA.

ΔH_f (0 K): 0.03 eV per atom
total moment: 0.0 μB/cell
mass density: 1.7 g cm⁻³
density of states at the Fermi level: 0.671 states/eV per atom
energy: -1.204 eV per atom

a b c (Å): 4.7766 4.7766 25.7944
angles (deg): 90.00 90.00 90.00
Closest atoms and distances in Å follow each position.
Space group P4/mmm (No. 123)
Asymmetric unit:
Rb 0.0000 0.0000 0.1024 (multiplicity 2)  8 Na 4.28-4.29, 4 Rb 4.78
Rb 0.0000 0.0000 0.3070 (multiplicity 2)  8 Na 4.29-4.30, 4 Rb 4.78
Ba 0.0000 0.0000 0.5000 (multiplicity 1)  8 Na 4.09
Na 0.5000 0.5000 0.0000 (multiplicity 1)  8 Rb 4.29, 4 Na 4.78
Na 0.5000 0.5000 0.2044 (multiplicity 2)  8 Rb 4.28-4.29, 4 Na 4.78
Na 0.5000 0.5000 0.4103 (multiplicity 2)  4 Ba 4.09, 4 Rb 4.30


Record 11
This record from Alexandria via LeMat-Bulk describes a geometry-optimized Ba2ZnCu structure. The functional is PBE-GGA.

ΔH_f (0 K): -0.09 eV per atom
total moment: 0.0 μB/cell
mass density: 4.8 g cm⁻³
density of states at the Fermi level: 0.853 states/eV per atom
energy: -2.395 eV per atom

a b c (Å): 4.6694 4.7688 12.5287
angles (deg): 90.00 90.00 90.00
Closest atoms and distances in Å follow each position.
Space group Amm2 (No. 38)
Asymmetric unit:
Ba 0.0000 0.0000 0.0000 (multiplicity 2)  2 Zn 3.39, 4 Cu 3.54
Ba 0.5000 0.0000 0.2801 (multiplicity 2)  2 Cu 3.33, 4 Zn 3.51
Zn 0.0000 0.0000 0.6924 (multiplicity 2)  2 Cu 2.64
Cu 0.5000 0.0000 0.5947 (multiplicity 2)  2 Zn 2.64


Record 12
This record from Alexandria via LeMat-Bulk describes a geometry-optimized Pa3Ga6Cu5 structure. The functional is PBE-GGA.

ΔH_f (0 K): -0.24 eV per atom
total moment: 0.2 μB/cell
mass density: 9.8 g cm⁻³
density of states at the Fermi level: 0.715 states/eV per atom
energy: -5.038 eV per atom

a b c (Å): 4.3465 12.9146 8.6070
angles (deg): 90.00 90.00 90.00
Closest atoms and distances in Å follow each position.
Space group Pmmn (No. 59, origin choice 2)
Asymmetric unit:
Pa 0.2500 0.0399 0.2445 (multiplicity 4)  6 Cu 2.95-3.21, 8 Ga 3.00-3.18
Pa 0.2500 0.7500 0.2374 (multiplicity 2)  6 Cu 2.99-3.23, 6 Ga 3.16-3.18
Ga 0.2500 0.0937 0.8876 (multiplicity 4)  4 Cu 2.41-2.68, 1 Ga 2.58
Ga 0.2500 0.2500 0.0745 (multiplicity 2)  2 Ga 2.58, 6 Cu 2.65-2.87
Ga 0.2500 0.2500 0.4364 (multiplicity 2)  4 Cu 2.47-2.70
Ga 0.2500 0.6037 0.5344 (multiplicity 4)  4 Cu 2.50-2.66
Cu 0.2500 0.0965 0.6077 (multiplicity 4)  5 Ga 2.41-2.66
Cu 0.2500 0.6072 0.9639 (multiplicity 4)  3 Ga 2.53-2.68, 1 Cu 2.61
Cu 0.2500 0.7500 0.7496 (multiplicity 2)  2 Cu 2.61, 6 Ga 2.65-2.70